(1)
V3As2H | GGA-PBE | relaxed

## Properties
DOS at the Fermi energy = 2.31 states/eV/f.u.
final energy = -6.85 eV/atom

Lattice parameters (Å, degrees): 11.2845 4.7536 5.9404 90.00 105.29 90.00
With the nearest neighbours (Å) after each atom.
Space group C2/c (No. 15)
Asymmetric unit:
1 V 0.0000 0.0088 0.2500 [4 per cell]  1 H 1.91
2 V 0.1074 0.5001 0.0532 [8 per cell]  2 H 1.94
3 As 0.1852 0.0003 0.0928 [8 per cell]  6 V 2.50-2.70
4 H 0.0000 0.4096 0.2500 [4 per cell]  5 V 1.91-1.94

=====

(2)
AcSmY4 | GGA-PBE | relaxed

## Properties
DOS at the Fermi energy = 13.26 states/eV/f.u.
final energy = -5.56 eV/atom
formation enthalpy at 0 K = 216 meV per atom
relative energy among the computed polymorphs = 192 meV/atom

Lattice parameters (Å, degrees): 3.4936 5.9945 10.1558 90.00 90.00 90.00
With the nearest neighbours (Å) after each atom.
Space group Pmmm (No. 47)
Asymmetric unit:
1 Ac 0.0000 0.0000 0.0000 [1 per cell]  2 Ac 3.49, 8 Y 3.60-3.70
2 Sm 0.5000 0.5000 0.5000 [1 per cell]  2 Sm 3.49, 8 Y 3.50-3.55
3 Y 0.0000 0.5000 0.1962 [2 per cell]  6 Y 3.49-3.69, 2 Sm 3.55, 2 Ac 3.60
4 Y 0.5000 0.0000 0.3212 [2 per cell]  7 Y 3.49-3.69, 2 Sm 3.50, 2 Ac 3.70

=====

(3)
Tc2PI | GGA-PBE | relaxed

## Properties
DOS at the Fermi energy = 2.37 states/eV/f.u.
final energy = -6.36 eV/atom
relative energy among the computed polymorphs = 57 meV/atom

Lattice parameters (Å, degrees): 6.3138 6.3138 6.3138 90.00 90.00 90.00
With the nearest neighbours (Å) after each atom.
Space group Fm-3m (No. 225)
Asymmetric unit:
1 Tc 0.2500 0.2500 0.2500 [8 per cell]  4 I 2.73, 4 P 2.73
2 P 0.0000 0.0000 0.0000 [4 per cell]  8 Tc 2.73
3 I 0.0000 0.0000 0.5000 [4 per cell]  8 Tc 2.73

=====

What did the third record say?
Tc2PI | GGA-PBE | relaxed

## Properties
DOS at the Fermi energy = 2.37 states/eV/f.u.
final energy = -6.36 eV/atom
relative energy among the computed polymorphs = 57 meV/atom

Lattice parameters (Å, degrees): 6.3138 6.3138 6.3138 90.00 90.00 90.00
With the nearest neighbours (Å) after each atom.
Space group Fm-3m (No. 225)
Asymmetric unit:
1 Tc 0.2500 0.2500 0.2500 [8 per cell]  4 I 2.73, 4 P 2.73
2 P 0.0000 0.0000 0.0000 [4 per cell]  8 Tc 2.73
3 I 0.0000 0.0000 0.5000 [4 per cell]  8 Tc 2.73

=====

Question: Among the records above, which one has the highest DOS at the Fermi energy?
Answer: AcSmY4

=====

Question: Which of these has the highest DOS at the Fermi energy?
Answer: AcSmY4

=====

Question: Which of these has the lowest DOS at the Fermi energy?
Answer: V3As2H